(1)
Density functional theory data (PBE) for crystalline CuRhSe2 at its relaxed geometry.

Cell and atoms, written as CIF:
```
data_CuRhSe2
_chemical_formula_sum 'Cu2 Rh2 Se4'
_symmetry_space_group_name_H-M 'I 4/m m m'
_symmetry_Int_Tables_number 139
_symmetry_space_group_name_Hall '-I 4 2'
_cell_length_a 5.042
_cell_length_b 5.042
_cell_length_c 5.540
_cell_angle_alpha 90.00
_cell_angle_beta 90.00
_cell_angle_gamma 90.00
loop_
_atom_site_label
_atom_site_type_symbol
_atom_site_fract_x
_atom_site_fract_y
_atom_site_fract_z
_atom_site_occupancy
Cu1 Cu 0.000 0.000 0.000 1
Rh1 Rh 0.000 0.000 0.500 1
Se1 Se 0.000 0.500 0.000 1
```

Calculated values
Formation energy from raw total energies   0.11 eV per atom
DFT total energy   -35.95 eV per cell


(2)
Density functional theory data (PBE) for crystalline NdCd4Pd15 at its relaxed geometry.

Cell and atoms, written as CIF:
```
data_NdCd4Pd15
_chemical_formula_sum 'Nd1 Cd4 Pd15'
_symmetry_space_group_name_H-M 'P 4/m m m'
_symmetry_Int_Tables_number 123
_symmetry_space_group_name_Hall '-P 4 2'
_cell_length_a 4.089
_cell_length_b 4.089
_cell_length_c 20.114
_cell_angle_alpha 90.00
_cell_angle_beta 90.00
_cell_angle_gamma 90.00
loop_
_atom_site_label
_atom_site_type_symbol
_atom_site_fract_x
_atom_site_fract_y
_atom_site_fract_z
_atom_site_occupancy
Nd1 Nd 0.000 0.000 0.000 1
Cd1 Cd 0.000 0.000 0.207 1
Cd2 Cd 0.000 0.000 0.402 1
Pd1 Pd 0.000 0.500 0.108 1
Pd2 Pd 0.000 0.500 0.305 1
Pd3 Pd 0.000 0.500 0.500 1
Pd4 Pd 0.500 0.500 0.000 1
Pd5 Pd 0.500 0.500 0.206 1
Pd6 Pd 0.500 0.500 0.403 1
```

Calculated values
E_form   -0.34 eV per atom
DFT total energy   -93.07 eV per cell


(3)
Density functional theory data (PBE) for crystalline TlGaO2 at its relaxed geometry.

Cell and atoms, written as CIF:
```
data_TlGaO2
_chemical_formula_sum 'Tl3 Ga3 O6'
_symmetry_space_group_name_H-M 'R -3 m'
_symmetry_Int_Tables_number 166
_symmetry_space_group_name_Hall '-R 3 2"'
_cell_length_a 3.1239
_cell_length_b 3.1239
_cell_length_c 19.4544
_cell_angle_alpha 90.00
_cell_angle_beta 90.00
_cell_angle_gamma 120.00
loop_
_atom_site_label
_atom_site_type_symbol
_atom_site_fract_x
_atom_site_fract_y
_atom_site_fract_z
_atom_site_occupancy
Tl1 Tl 0.0000 0.0000 0.0000 1
Ga1 Ga 0.0000 0.0000 0.5000 1
O1 O 0.0000 0.0000 0.2190 1
```

Calculated values
Energy relative to the lowest polymorph listed for this composition   16.6 kJ per mole of atoms
Formation energy from raw total energies   -1.23 eV per atom
DFT total energy   -60.73 eV per cell


(4)
Density functional theory data (PBE) for crystalline Li2In at its relaxed geometry.

Cell and atoms, written as CIF:
```
data_Li2In
_chemical_formula_sum 'Li2 In1'
_symmetry_space_group_name_H-M 'P -3 m 1'
_symmetry_Int_Tables_number 164
_symmetry_space_group_name_Hall '-P 3 2"'
_cell_length_a 4.7039
_cell_length_b 4.7039
_cell_length_c 2.9386
_cell_angle_alpha 90.00
_cell_angle_beta 90.00
_cell_angle_gamma 120.00
loop_
_atom_site_label
_atom_site_type_symbol
_atom_site_fract_x
_atom_site_fract_y
_atom_site_fract_z
_atom_site_occupancy
Li1 Li 0.3333 0.6667 0.4783 1
In1 In 0.0000 0.0000 0.0000 1
```

Calculated values
E_form   -0.26 eV per atom
DFT total energy   -7.36 eV per cell


(5)
Density functional theory data (PBE) for crystalline PrNpIr4 at its relaxed geometry.

Cell and atoms, written as CIF:
```
data_PrNpIr4
_chemical_formula_sum 'Pr4 Np4 Ir16'
_symmetry_space_group_name_H-M 'F -4 3 m'
_symmetry_Int_Tables_number 216
_symmetry_space_group_name_Hall 'F -4 2 3'
_cell_length_a 7.640
_cell_length_b 7.640
_cell_length_c 7.640
_cell_angle_alpha 90.00
_cell_angle_beta 90.00
_cell_angle_gamma 90.00
loop_
_atom_site_label
_atom_site_type_symbol
_atom_site_fract_x
_atom_site_fract_y
_atom_site_fract_z
_atom_site_occupancy
Pr1 Pr 0.000 0.000 0.000 1
Np1 Np 0.250 0.250 0.250 1
Ir1 Ir 0.125 0.125 0.625 1
```

Calculated values
E_form   -0.51 eV per atom
DFT total energy   -224.93 eV per cell


(6)
Density functional theory data (PBE) for crystalline Sm6YEr3 at its relaxed geometry.

Cell and atoms, written as CIF:
```
data_Sm6YEr3
_chemical_formula_sum 'Sm24 Y4 Er12'
_symmetry_space_group_name_H-M 'C m c 21'
_symmetry_Int_Tables_number 36
_symmetry_space_group_name_Hall 'C 2c -2'
_cell_length_a 9.732
_cell_length_b 21.245
_cell_length_c 6.406
_cell_angle_alpha 90.00
_cell_angle_beta 90.00
_cell_angle_gamma 90.00
loop_
_atom_site_label
_atom_site_type_symbol
_atom_site_fract_x
_atom_site_fract_y
_atom_site_fract_z
_atom_site_occupancy
Sm1 Sm 0.000 0.015 0.000 1
Sm2 Sm 0.000 0.302 0.985 1
Sm3 Sm 0.175 0.281 0.515 1
Sm4 Sm 0.180 0.440 0.762 1
Y1 Y 0.000 0.159 0.202 1
Er1 Er 0.000 0.420 0.283 1
Er2 Er 0.168 0.126 0.680 1
```

Calculated values
E_form   0.13 eV per atom
Energy relative to the lowest polymorph listed for this composition   0.0 kJ per mole of atoms
DFT total energy   -188.79 eV per cell


(7)
Density functional theory data (PBE) for crystalline NaSrV2Pt at its relaxed geometry.

Cell and atoms, written as CIF:
```
data_NaSrV2Pt
_chemical_formula_sum 'Na1 Sr1 V2 Pt1'
_symmetry_space_group_name_H-M 'P 4/m m m'
_symmetry_Int_Tables_number 123
_symmetry_space_group_name_Hall '-P 4 2'
_cell_length_a 4.990
_cell_length_b 4.990
_cell_length_c 5.011
_cell_angle_alpha 90.00
_cell_angle_beta 90.00
_cell_angle_gamma 90.00
loop_
_atom_site_label
_atom_site_type_symbol
_atom_site_fract_x
_atom_site_fract_y
_atom_site_fract_z
_atom_site_occupancy
Na1 Na 0.000 0.000 0.000 1
Sr1 Sr 0.500 0.500 0.500 1
V1 V 0.000 0.500 0.000 1
Pt1 Pt 0.000 0.000 0.500 1
```

Calculated values
E_form   1.19 eV per atom
DFT total energy   -21.35 eV per cell


(8)
Density functional theory data (PBE) for crystalline Na5TlO5 at its relaxed geometry.

Cell and atoms, written as CIF:
```
data_Na5TlO5
_chemical_formula_sum 'Na10 Tl2 O10'
_symmetry_space_group_name_H-M 'C 1 2/m 1'
_symmetry_Int_Tables_number 12
_symmetry_space_group_name_Hall '-C 2y'
_cell_length_a 10.879
_cell_length_b 4.733
_cell_length_c 6.679
_cell_angle_alpha 90.00
_cell_angle_beta 108.43
_cell_angle_gamma 90.00
loop_
_atom_site_label
_atom_site_type_symbol
_atom_site_fract_x
_atom_site_fract_y
_atom_site_fract_z
_atom_site_occupancy
Na1 Na 0.000 0.000 0.000 1
Na2 Na 0.178 0.500 0.359 1
Na3 Na 0.191 0.500 0.821 1
Tl1 Tl 0.000 0.000 0.500 1
O1 O 0.000 0.500 0.500 1
O2 O 0.141 0.000 0.334 1
O3 O 0.159 0.000 0.820 1
```

Calculated values
Formation energy from raw total energies   -1.02 eV per atom
DFT total energy   -89.99 eV per cell


(9)
Density functional theory data (PBE) for crystalline ZrOsO2 at its relaxed geometry.

Cell and atoms, written as CIF:
```
data_ZrOsO2
_chemical_formula_sum 'Zr3 Os3 O6'
_symmetry_space_group_name_H-M 'R -3 m'
_symmetry_Int_Tables_number 166
_symmetry_space_group_name_Hall '-R 3 2"'
_cell_length_a 2.9655
_cell_length_b 2.9655
_cell_length_c 20.1543
_cell_angle_alpha 90.00
_cell_angle_beta 90.00
_cell_angle_gamma 120.00
loop_
_atom_site_label
_atom_site_type_symbol
_atom_site_fract_x
_atom_site_fract_y
_atom_site_fract_z
_atom_site_occupancy
Zr1 Zr 0.0000 0.0000 0.0000 1
Os1 Os 0.0000 0.0000 0.5000 1
O1 O 0.0000 0.0000 0.3996 1
```

Calculated values
Energy relative to the lowest polymorph listed for this composition   0.0 kJ per mole of atoms
Formation energy from raw total energies   -1.36 eV per atom
DFT total energy   -105.37 eV per cell


(10)
Density functional theory data (PBE) for crystalline Ba2CdHg16 at its relaxed geometry.

Cell and atoms, written as CIF:
```
data_Ba2CdHg16
_chemical_formula_sum 'Ba6 Cd3 Hg48'
_symmetry_space_group_name_H-M 'R 3 m'
_symmetry_Int_Tables_number 160
_symmetry_space_group_name_Hall 'R 3 -2"'
_cell_length_a 10.4016
_cell_length_b 10.4016
_cell_length_c 17.2335
_cell_angle_alpha 90.00
_cell_angle_beta 90.00
_cell_angle_gamma 120.00
loop_
_atom_site_label
_atom_site_type_symbol
_atom_site_fract_x
_atom_site_fract_y
_atom_site_fract_z
_atom_site_occupancy
Ba1 Ba 0.0000 0.0000 0.0000 1
Ba2 Ba 0.0000 0.0000 0.3219 1
Cd1 Cd 0.0000 0.0000 0.6178 1
Hg1 Hg 0.0000 0.0000 0.7919 1
Hg2 Hg 0.0006 0.2987 0.6771 1
Hg3 Hg 0.0299 0.5149 0.5371 1
Hg4 Hg 0.0697 0.5349 0.8186 1
Hg5 Hg 0.0829 0.5415 0.1661 1
```

Calculated values
E_form   -0.20 eV per atom
DFT total energy   -40.00 eV per cell


(11)
Density functional theory data (PBE) for crystalline NiPd2Pb2 at its relaxed geometry.

Cell and atoms, written as CIF:
```
data_NiPd2Pb2
_chemical_formula_sum 'Ni2 Pd4 Pb4'
_symmetry_space_group_name_H-M 'P 4/m b m'
_symmetry_Int_Tables_number 127
_symmetry_space_group_name_Hall '-P 4 2ab'
_cell_length_a 6.940
_cell_length_b 6.940
_cell_length_c 4.141
_cell_angle_alpha 90.00
_cell_angle_beta 90.00
_cell_angle_gamma 90.00
loop_
_atom_site_label
_atom_site_type_symbol
_atom_site_fract_x
_atom_site_fract_y
_atom_site_fract_z
_atom_site_occupancy
Ni1 Ni 0.000 0.000 0.000 1
Pd1 Pd 0.143 0.357 0.000 1
Pb1 Pb 0.170 0.670 0.500 1
```

Calculated values
E_form   0.07 eV per atom
DFT total energy   -46.44 eV per cell


(12)
Density functional theory data (PBE) for crystalline Mn3CrPd at its relaxed geometry.

Cell and atoms, written as CIF:
```
data_Mn3CrPd
_chemical_formula_sum 'Mn3 Cr1 Pd1'
_symmetry_space_group_name_H-M 'P m -3 m'
_symmetry_Int_Tables_number 221
_symmetry_space_group_name_Hall '-P 4 2 3'
_cell_length_a 4.134
_cell_length_b 4.134
_cell_length_c 4.134
_cell_angle_alpha 90.00
_cell_angle_beta 90.00
_cell_angle_gamma 90.00
loop_
_atom_site_label
_atom_site_type_symbol
_atom_site_fract_x
_atom_site_fract_y
_atom_site_fract_z
_atom_site_occupancy
Mn1 Mn 0.000 0.000 0.500 1
Cr1 Cr 0.000 0.000 0.000 1
Pd1 Pd 0.500 0.500 0.500 1
```

Calculated values
E_form   1.15 eV per atom
DFT total energy   -36.55 eV per cell